BaMoPtN2: PBEsol geometry, meta-GGA SCAN.

Unit cell a=3.967 b=3.967 c=7.165 alpha=90.00 beta=90.00 gamma=90.00
Fractional positions:
Mo 0.000 0.000 0.000
Ba 0.000 0.000 0.500
Pt 0.500 0.500 0.500
N 0.000 0.500 0.000
N 0.500 0.000 0.000

Summary:
symmetry: No. 123
V: 22.55 Å³/atom
energy relative to the elements, uncorrected: 0.66 eV/atom

=====

LiSb2MoRh: PBEsol geometry, meta-GGA SCAN.

Unit cell a=4.282 b=4.985 c=4.985 alpha=90.00 beta=90.00 gamma=90.00
Fractional positions:
Sb 0.000 0.000 0.500
Sb 0.000 0.500 0.000
Mo 0.500 0.500 0.500
Rh 0.000 0.000 0.000
Li 0.500 0.000 0.000

Summary:
symmetry: No. 123
V: 21.28 Å³/atom
energy relative to the elements, uncorrected: 0.49 eV/atom

=====

Sr2Si2Ge: PBEsol geometry, meta-GGA SCAN.

Unit cell a=3.586 b=3.586 c=9.843 alpha=100.49 beta=100.49 gamma=90.00
Fractional positions:
Sr 0.395 0.395 0.789
Sr 0.605 0.605 0.211
Ge 0.000 0.000 0.000
Si 0.250 0.750 0.500
Si 0.750 0.250 0.500

Summary:
symmetry: No. 139
V: 24.46 Å³/atom
energy relative to the elements, uncorrected: -0.21 eV/atom

=====

no.,DFT total energy (eV/atom)
1,-31.9836
2,-28.6251
3,-16.9410